(1)
# Th2MgGa3Rh4 GGA-PBE relaxed
data_Th2MgGa3Rh4
_chemical_formula_sum 'Th2 Mg1 Ga3 Rh4'
_cell_length_a 4.218
_cell_length_b 4.218
_cell_length_c 10.683
_cell_angle_alpha 90.00
_cell_angle_beta 90.00
_cell_angle_gamma 90.00
_symmetry_space_group_name_H-M 'P -4 m 2'
_symmetry_Int_Tables_number 115
_symmetry_space_group_name_Hall 'P -4 -2'
loop_
_atom_site_label
_atom_site_fract_x
_atom_site_fract_y
_atom_site_fract_z
Th1 0.000 0.500 0.236
Mg1 0.000 0.000 0.500
Ga1 0.000 0.500 0.878
Ga2 0.500 0.500 0.500
Rh1 0.000 0.000 0.000
Rh2 0.000 0.500 0.647
Rh3 0.500 0.500 0.000
# - E: -6.256 eV per atom

(2)
# ThAgHg3 GGA-PBE relaxed
data_ThAgHg3
_chemical_formula_sum 'Th3 Ag3 Hg9'
_cell_length_a 7.137
_cell_length_b 7.137
_cell_length_c 7.137
_cell_angle_alpha 90.00
_cell_angle_beta 90.00
_cell_angle_gamma 90.00
_symmetry_space_group_name_H-M 'P m -3 m'
_symmetry_Int_Tables_number 221
_symmetry_space_group_name_Hall '-P 4 2 3'
loop_
_atom_site_label
_atom_site_fract_x
_atom_site_fract_y
_atom_site_fract_z
Th1 0.000 0.000 0.500
Ag1 0.000 0.500 0.500
Hg1 0.000 0.000 0.000
Hg2 0.277 0.277 0.277
# - Energy above the lowest structure with this stoichiometry: 0.000 eV/atom
# - E: -2.416 eV per atom

(3)
# AcY2Er GGA-PBE relaxed
data_AcY2Er
_chemical_formula_sum 'Ac3 Y6 Er3'
_cell_length_a 3.6919
_cell_length_b 3.6919
_cell_length_c 35.3891
_cell_angle_alpha 90.00
_cell_angle_beta 90.00
_cell_angle_gamma 120.00
_symmetry_space_group_name_H-M 'R 3 m'
_symmetry_Int_Tables_number 160
_symmetry_space_group_name_Hall 'R 3 -2"'
loop_
_atom_site_label
_atom_site_fract_x
_atom_site_fract_y
_atom_site_fract_z
Ac1 0.0000 0.0000 0.0000
Y1 0.0000 0.0000 0.2463
Y2 0.0000 0.0000 0.4214
Er1 0.0000 0.0000 0.8342
# - Energy above the lowest structure with this stoichiometry: 0.019 eV/atom
# - E: -5.336 eV per atom